# MnAgI2O

MnAgI2O after structural relaxation (GGA+U, the Alexandria database).

Output
Total moment ... 4.061 μB per formula unit
Raw total energy ... -20.00 eV/cell
SG ... P4/mmm, No. 123
Crystal system ... tetragonal

Cell lengths 5.8521, 5.8521, 3.7157 Å; angles 90.00, 90.00, 90.00 degrees
Element x y z (fractional)
Mn 0.0000 0.0000 0.0000
Ag 0.5000 0.5000 0.5000
I 0.0000 0.5000 0.0000
I 0.5000 0.0000 0.0000
O 0.0000 0.0000 0.5000